(1)
Si3P | Alexandria via LeMat-Bulk | PBE | optimized geometry; formation energy without anion corrections = 0.46 eV per atom; magnetization = 0.0 μB/f.u.; crystal system = tetragonal; symmetry = No. 139
1.0
-1.7931 1.7931 9.7654
1.7931 -1.7931 9.7654
1.7931 1.7931 -9.7654
Si P
6 2
Direct
0.0000 0.5000 0.5000
0.1575 0.1575 0.0000
0.2500 0.7500 0.5000
0.5000 0.0000 0.5000
0.7500 0.2500 0.5000
0.8425 0.8425 0.0000
0.4083 0.4083 0.0000
0.5917 0.5917 0.0000


(2)
SiP2 | Alexandria via LeMat-Bulk | PBE | optimized geometry; formation energy without anion corrections = 0.36 eV per atom; magnetization = 0.0 μB/f.u.; crystal system = hexagonal; symmetry = No. 191
1.0
4.5382 0.0000 0.0000
-2.2691 3.9302 0.0000
0.0000 0.0000 2.4468
Si P
1 2
Direct
0.0000 0.0000 0.0000
0.3333 0.6667 0.0000
0.6667 0.3333 0.0000


(3)
Si3P | Alexandria via LeMat-Bulk | PBE | optimized geometry; formation energy without anion corrections = 0.54 eV per atom; magnetization = 0.0 μB/f.u.; crystal system = cubic; symmetry = No. 225
1.0
0.0000 3.0873 3.0873
3.0873 0.0000 3.0873
3.0873 3.0873 0.0000
Si P
3 1
Direct
0.0000 0.0000 0.0000
0.2500 0.2500 0.2500
0.7500 0.7500 0.7500
0.5000 0.5000 0.5000


(4)
Si3P | Alexandria via LeMat-Bulk | PBE | optimized geometry; formation energy without anion corrections = 0.53 eV per atom; magnetization = 0.0 μB/f.u.; crystal system = trigonal; symmetry = No. 166
1.0
4.2112 2.4313 0.9524
-4.2112 2.4313 0.9524
0.0000 -4.8627 0.9524
Si P
3 1
Direct
0.0000 0.5000 0.5000
0.5000 0.0000 0.5000
0.5000 0.5000 0.0000
0.0000 0.0000 0.0000


(5)
Si5P3 | Alexandria via LeMat-Bulk | PBE | optimized geometry; formation energy without anion corrections = 0.57 eV per atom; magnetization = 0.0 μB/f.u.; crystal system = hexagonal; symmetry = No. 193
1.0
7.8080 0.0000 0.0000
-3.9040 6.7620 0.0000
0.0000 0.0000 4.8149
Si P
10 6
Direct
0.0000 0.2065 0.2500
0.0000 0.7935 0.7500
0.2065 0.0000 0.2500
0.2065 0.2065 0.7500
0.3333 0.6667 0.0000
0.3333 0.6667 0.5000
0.6667 0.3333 0.0000
0.6667 0.3333 0.5000
0.7935 0.0000 0.7500
0.7935 0.7935 0.2500
0.0000 0.3566 0.7500
0.0000 0.6434 0.2500
0.3566 0.0000 0.7500
0.3566 0.3566 0.2500
0.6434 0.0000 0.2500
0.6434 0.6434 0.7500


(6)
Si3P | Alexandria via LeMat-Bulk | PBE | optimized geometry; formation energy without anion corrections = 0.51 eV per atom; magnetization = 0.0 μB/f.u.; crystal system = orthorhombic; symmetry = No. 65
1.0
2.8452 -3.2043 0.0000
2.8452 3.2043 0.0000
0.0000 0.0000 3.1776
Si P
3 1
Direct
0.0000 0.0000 0.0000
0.0000 0.5000 0.5000
0.5000 0.0000 0.5000
0.5000 0.5000 0.0000


(7)
SiP2 | Alexandria via LeMat-Bulk | PBE | optimized geometry; formation energy without anion corrections = 0.21 eV per atom; magnetization = 0.0 μB/f.u.; crystal system = monoclinic; symmetry = No. 12
1.0
4.6332 -1.6732 0.0000
4.6332 1.6732 0.0000
-2.7038 0.0000 6.6492
Si P
2 4
Direct
0.1543 0.1543 0.2654
0.8457 0.8457 0.7346
0.3359 0.3359 0.9781
0.3968 0.3968 0.5348
0.6032 0.6032 0.4652
0.6641 0.6641 0.0219


(8)
Si3P | Alexandria via LeMat-Bulk | PBE | optimized geometry; formation energy without anion corrections = 0.47 eV per atom; magnetization = 0.0 μB/f.u.; crystal system = orthorhombic; symmetry = No. 71
1.0
-1.6515 1.8449 5.0024
1.6515 -1.8449 5.0024
1.6515 1.8449 -5.0024
Si P
3 1
Direct
0.0000 0.0000 0.0000
0.2962 0.7962 0.5000
0.7038 0.2038 0.5000
0.5000 0.5000 0.0000


(9)
Si3P | Alexandria via LeMat-Bulk | PBE | optimized geometry; formation energy without anion corrections = 0.28 eV per atom; magnetization = 0.0 μB/f.u.; crystal system = orthorhombic; symmetry = No. 65
1.0
2.4673 -2.5974 0.0000
2.4673 2.5974 0.0000
0.0000 0.0000 4.6418
Si P
3 1
Direct
0.0000 0.0000 0.0000
0.2501 0.7499 0.5000
0.7499 0.2501 0.5000
0.5000 0.5000 0.0000


(10)
SiP2 | Alexandria via LeMat-Bulk | PBE | optimized geometry; formation energy without anion corrections = 0.04 eV per atom; magnetization = 0.0 μB/f.u.; crystal system = monoclinic; symmetry = No. 12
1.0
6.1961 -1.7482 0.0000
6.1961 1.7482 0.0000
-1.5476 0.0000 4.6542
Si P
2 4
Direct
0.1545 0.1545 0.4119
0.8455 0.8455 0.5881
0.1885 0.1885 0.9517
0.4738 0.4738 0.6966
0.5262 0.5262 0.3034
0.8115 0.8115 0.0483


(11)
Si5P | Alexandria via LeMat-Bulk | PBE | optimized geometry; formation energy without anion corrections = 0.68 eV per atom; magnetization = 0.0 μB/f.u.; crystal system = hexagonal; symmetry = No. 191
1.0
4.8020 0.0000 0.0000
-2.4010 4.1587 0.0000
0.0000 0.0000 4.8435
Si P
5 1
Direct
0.0000 0.5000 0.0000
0.3333 0.6667 0.5000
0.5000 0.0000 0.0000
0.5000 0.5000 0.0000
0.6667 0.3333 0.5000
0.0000 0.0000 0.5000


(12)
SiP2 | Alexandria via LeMat-Bulk | PBE | optimized geometry; formation energy without anion corrections = 0.09 eV per atom; magnetization = 0.0 μB/f.u.; crystal system = orthorhombic; symmetry = No. 63
1.0
1.7457 -5.2521 0.0000
1.7457 5.2521 0.0000
0.0000 0.0000 4.9580
Si P
2 4
Direct
0.1641 0.8359 0.7500
0.8359 0.1641 0.2500
0.1707 0.8293 0.2500
0.4937 0.5063 0.2500
0.5063 0.4937 0.7500
0.8293 0.1707 0.7500


(13)
SiP2 | Alexandria via LeMat-Bulk | PBE | optimized geometry; formation energy without anion corrections = 0.13 eV per atom; magnetization = 0.0 μB/f.u.; crystal system = trigonal; symmetry = No. 164
1.0
3.4941 0.0000 0.0000
-1.7470 3.0260 0.0000
0.0000 0.0000 4.3060
Si P
1 2
Direct
0.0000 0.0000 0.0000
0.3333 0.6667 0.3218
0.6667 0.3333 0.6782


(14)
Si3P | Alexandria via LeMat-Bulk | PBE | optimized geometry; formation energy without anion corrections = 0.24 eV per atom; magnetization = 0.0 μB/f.u.; crystal system = monoclinic; symmetry = No. 12
1.0
5.3017 -1.7339 0.0000
5.3017 1.7339 0.0000
-1.2423 0.0000 3.4494
Si P
3 1
Direct
0.0000 0.0000 0.0000
0.2494 0.2494 0.2494
0.7506 0.7506 0.7506
0.5000 0.5000 0.5000


(15)
SiP2 | Alexandria via LeMat-Bulk | PBE | optimized geometry; formation energy without anion corrections = 0.42 eV per atom; magnetization = 0.0 μB/f.u.; crystal system = tetragonal; symmetry = No. 141
1.0
-1.6514 1.6514 10.9633
1.6514 -1.6514 10.9633
1.6514 1.6514 -10.9633
Si P
2 4
Direct
0.3750 0.6250 0.7500
0.6250 0.3750 0.2500
0.0753 0.8253 0.2500
0.1747 0.9247 0.2500
0.8253 0.0753 0.7500
0.9247 0.1747 0.7500


(16)
Si3P4 | Alexandria via LeMat-Bulk | PBE | optimized geometry; formation energy without anion corrections = 0.26 eV per atom; magnetization = 0.0 μB/f.u.; crystal system = tetragonal; symmetry = No. 139
1.0
-1.6900 1.6900 11.0141
1.6900 -1.6900 11.0141
1.6900 1.6900 -11.0141
Si P
3 4
Direct
0.0000 0.0000 0.0000
0.2948 0.2948 0.0000
0.7052 0.7052 0.0000
0.1871 0.1871 0.0000
0.4504 0.4504 0.0000
0.5496 0.5496 0.0000
0.8129 0.8129 0.0000


(17)
SiP2 | Alexandria via LeMat-Bulk | PBE | optimized geometry; formation energy without anion corrections = -0.11 eV per atom; magnetization = 0.0 μB/f.u.; crystal system = cubic; symmetry = No. 205
1.0
5.7380 0.0000 0.0000
0.0000 5.7380 0.0000
0.0000 0.0000 5.7380
Si P
4 8
Direct
0.0000 0.0000 0.0000
0.0000 0.5000 0.5000
0.5000 0.0000 0.5000
0.5000 0.5000 0.0000
0.1091 0.6091 0.8909
0.1091 0.8909 0.3909
0.3909 0.1091 0.8909
0.3909 0.3909 0.3909
0.6091 0.6091 0.6091
0.6091 0.8909 0.1091
0.8909 0.1091 0.6091
0.8909 0.3909 0.1091


(18)
SiP2 | Alexandria via LeMat-Bulk | PBE | optimized geometry; formation energy without anion corrections = -0.13 eV per atom; magnetization = 0.0 μB/f.u.; crystal system = orthorhombic; symmetry = No. 55
1.0
10.2686 0.0000 0.0000
0.0000 15.6221 0.0000
0.0000 0.0000 3.4518
Si P
8 16
Direct
0.0883 0.1653 0.0000
0.1956 0.7683 0.5000
0.3044 0.2683 0.5000
0.4117 0.6653 0.0000
0.5883 0.3347 0.0000
0.6956 0.7317 0.5000
0.8044 0.2317 0.5000
0.9117 0.8347 0.0000
0.0407 0.8725 0.5000
0.1262 0.6259 0.5000
0.1701 0.3003 0.0000
0.2421 0.5707 0.0000
0.2579 0.0707 0.0000
0.3299 0.8003 0.0000
0.3738 0.1259 0.5000
0.4593 0.3725 0.5000
0.5407 0.6275 0.5000
0.6262 0.8741 0.5000
0.6701 0.1997 0.0000
0.7421 0.9293 0.0000
0.7579 0.4293 0.0000
0.8299 0.6997 0.0000
0.8738 0.3741 0.5000
0.9593 0.1275 0.5000


(19)
SiP2 | Alexandria via LeMat-Bulk | PBE | optimized geometry; formation energy without anion corrections = 0.15 eV per atom; magnetization = 0.0 μB/f.u.; crystal system = orthorhombic; symmetry = No. 65
1.0
1.7204 -5.2907 0.0000
1.7204 5.2907 0.0000
0.0000 0.0000 2.4919
Si P
1 2
Direct
0.0000 0.0000 0.0000
0.3335 0.6665 0.0000
0.6665 0.3335 0.0000


(20)
SiP2 | Alexandria via LeMat-Bulk | PBE | optimized geometry; formation energy without anion corrections = 0.30 eV per atom; magnetization = 0.0 μB/f.u.; crystal system = monoclinic; symmetry = No. 8
1.0
5.2430 -1.2885 0.0000
5.2430 1.2885 0.0000
-3.3115 0.0000 8.0989
Si P
2 4
Direct
0.0000 0.0000 0.0000
0.5658 0.5658 0.7920
0.2340 0.2340 0.4224
0.2409 0.2409 0.1691
0.4625 0.4625 0.5087
0.7763 0.7763 0.7803


(21)
Si3P | Alexandria via LeMat-Bulk | PBE | optimized geometry; formation energy without anion corrections = 0.59 eV per atom; magnetization = 0.0 μB/f.u.; crystal system = hexagonal; symmetry = No. 187
1.0
2.7944 0.0000 0.0000
-1.3972 2.4200 0.0000
0.0000 0.0000 8.5283
Si P
3 1
Direct
0.0000 0.0000 0.0000
0.6667 0.3333 0.2574
0.6667 0.3333 0.7426
0.0000 0.0000 0.5000


(22)
SiP5 | Alexandria via LeMat-Bulk | PBE | optimized geometry; formation energy without anion corrections = 0.57 eV per atom; magnetization = 0.0 μB/f.u.; crystal system = tetragonal; symmetry = No. 123
1.0
2.3472 0.0000 0.0000
0.0000 2.3472 0.0000
0.0000 0.0000 18.5830
Si P
1 5
Direct
0.0000 0.0000 0.0000
0.0000 0.0000 0.3155
0.0000 0.0000 0.6845
0.5000 0.5000 0.1399
0.5000 0.5000 0.5000
0.5000 0.5000 0.8601


(23)
SiP2 | Alexandria via LeMat-Bulk | PBE | optimized geometry; formation energy without anion corrections = 0.24 eV per atom; magnetization = 0.0 μB/f.u.; crystal system = monoclinic; symmetry = No. 8
1.0
3.0693 -1.6417 0.0000
3.0693 1.6417 0.0000
-2.8581 0.0000 4.6617
Si P
1 2
Direct
0.0000 0.0000 0.0000
0.1532 0.1532 0.6780
0.4670 0.4670 0.3243


(24)
SiP5 | Alexandria via LeMat-Bulk | PBE | optimized geometry; formation energy without anion corrections = 0.13 eV per atom; magnetization = 0.0 μB/f.u.; crystal system = orthorhombic; symmetry = No. 65
1.0
1.7076 -5.3208 0.0000
1.7076 5.3208 0.0000
0.0000 0.0000 4.9057
Si P
1 5
Direct
0.0000 0.0000 0.0000
0.0000 0.0000 0.5000
0.3311 0.6689 0.5000
0.3368 0.6632 0.0000
0.6632 0.3368 0.0000
0.6689 0.3311 0.5000


(25)
SiP5 | Alexandria via LeMat-Bulk | PBE | optimized geometry; formation energy without anion corrections = 0.90 eV per atom; magnetization = 0.0 μB/f.u.; crystal system = cubic; symmetry = No. 216
1.0
0.0000 3.5768 3.5768
3.5768 0.0000 3.5768
3.5768 3.5768 0.0000
Si P
1 5
Direct
0.0000 0.0000 0.0000
0.3758 0.3758 0.3758
0.3758 0.3758 0.8727
0.3758 0.8727 0.3758
0.7500 0.7500 0.7500
0.8727 0.3758 0.3758


(26)
Si3P5 | Alexandria via LeMat-Bulk | PBE | optimized geometry; formation energy without anion corrections = 0.50 eV per atom; magnetization = 0.0 μB/f.u.; crystal system = orthorhombic; symmetry = No. 65
1.0
3.3464 -3.3555 0.0000
3.3464 3.3555 0.0000
0.0000 0.0000 5.7726
Si P
3 5
Direct
0.0000 0.0000 0.0000
0.2516 0.7484 0.5000
0.7484 0.2516 0.5000
0.0000 0.5000 0.0000
0.2466 0.2466 0.5000
0.5000 0.0000 0.0000
0.5000 0.5000 0.0000
0.7534 0.7534 0.5000